12
Lattice="4.6174 0.0000 0.0000 0.0000 10.0703 -0.6247 0.0000 -3.2758 10.7933" Properties=species:S:1:pos:R:3 comment="PBE-GGA CsSmHgTe3, relaxed" formation_energy_uncorrected_mev_per_atom=-987 spacegroup="P2_1/m (11)" pbc="T T T"
Cs 3.4630 5.3654 7.5447
Cs 1.1543 1.4291 2.6240
Te 1.1543 6.3642 4.3611
Te 3.4630 4.2486 1.3884
Te 3.4630 0.4303 5.8075
Te 1.1543 -1.7738 9.3814
Te 3.4630 8.5683 0.7873
Te 1.1543 2.5459 8.7803
Sm 1.1543 6.3592 1.0343
Sm 3.4630 0.4353 9.1343
Hg 1.1543 -1.1431 6.6394
Hg 3.4630 7.9376 3.5293

***

7
Lattice="5.0042 0.0000 0.0000 0.0000 5.1975 0.0000 0.0000 -2.5988 8.8616" Properties=species:S:1:pos:R:3 comment="PBE-GGA CsSn4Hg2, relaxed" delta_e_f_ev_per_atom=-0.108 spacegroup="Cmmm (65)" pbc="T T T"
Sn 0.0000 2.5988 3.5087
Sn 2.5021 2.5988 5.4210
Sn 0.0000 0.0000 5.3529
Sn 2.5021 0.0000 3.4406
Hg 2.5021 0.0000 7.3464
Hg 2.5021 2.5988 1.5152
Cs 0.0000 0.0000 0.0000

***

5
Lattice="-2.1978 2.1978 11.6930 2.1978 -2.1978 11.6930 2.1978 2.1978 -11.6930" Properties=species:S:1:pos:R:3 comment="PBE-GGA Cs2SnHg2, relaxed" e_above_lowest_polymorph_ev_per_atom=0.180 delta_e_f_ev_per_atom=-0.051 spacegroup="I4/mmm (139)" pbc="T T T"
Cs 0.0000 0.0000 9.2031
Cs 0.0000 0.0000 14.1829
Sn 0.0000 0.0000 0.0000
Hg 2.1978 0.0000 5.8465
Hg 0.0000 2.1978 5.8465

***

7
Lattice="5.8681 0.0000 0.0000 0.0000 5.8681 0.0000 2.9341 2.9341 9.6540" Properties=species:S:1:pos:R:3 comment="PBE-GGA Cs2SnHg4, relaxed" delta_e_f_ev_per_atom=-0.137 spacegroup="I4/mmm (139)" pbc="T T T"
Hg 0.0000 2.9341 0.0000
Hg 5.8681 5.8681 3.2275
Hg 2.9341 0.0000 0.0000
Hg 2.9341 2.9341 6.4266
Cs 2.9341 2.9341 2.6009
Cs 5.8681 5.8681 7.0531
Sn 0.0000 0.0000 0.0000

***

10
Lattice="9.6236 -0.2470 -0.2203 -2.8706 9.1888 0.2203 -3.9655 -4.0261 6.4456" Properties=species:S:1:pos:R:3 comment="PBE-GGA Cs3SnHg, relaxed" delta_e_f_ev_per_atom=-0.097 spacegroup="C2/m (12)" pbc="T T T"
Sn 3.1192 -2.3557 4.5283
Sn -0.3317 7.2714 1.9173
Cs 4.9601 3.2749 1.0221
Cs 6.7826 -0.8601 1.3168
Cs -0.1876 2.9003 1.5370
Cs -3.9951 5.7758 5.1288
Cs -2.1726 1.6408 5.4235
Cs 2.9751 2.0154 4.9086
Hg 2.1941 5.3638 2.9913
Hg 0.5934 -0.4482 3.4543

***

20
Lattice="7.8346 0.0000 0.0000 3.9173 10.5037 0.4123 3.9173 3.1849 10.0176" Properties=species:S:1:pos:R:3 comment="PBE-GGA Cs3Sn2Hg5, relaxed" delta_e_f_ev_per_atom=-0.124 spacegroup="Ibam (72)" pbc="T T T"
Hg 9.7932 10.6942 8.1484
Hg 5.8759 6.8443 5.2150
Hg 11.7519 8.2032 7.7683
Hg 1.9586 2.9944 2.2816
Hg 5.8759 2.9944 2.2816
Hg 7.8346 9.6667 5.8476
Hg 9.7932 6.8443 5.2150
Hg 7.8346 4.0219 4.5824
Hg 13.7105 10.6942 8.1484
Hg 3.9173 5.4854 2.6617
Cs 7.8346 6.7436 1.8136
Cs 7.8346 6.9450 8.6163
Cs 1.9586 0.0000 0.0000
Cs 11.7519 10.1504 4.4094
Cs 3.9173 3.5382 6.0206
Cs 5.8759 0.0000 0.0000
Sn 11.7519 12.6217 7.2965
Sn 7.8346 3.3043 0.1971
Sn 3.9173 1.0669 3.1335
Sn 7.8346 10.3843 10.2329

***

80
Lattice="-19.2081 3.1812 -0.7730 5.5879 -1.5223 18.6045 9.3883 14.8615 -8.4062" Properties=species:S:1:pos:R:3 comment="PBE-GGA Cs12Sn3Hg5, relaxed" delta_e_f_ev_per_atom=-0.011 spacegroup="Ia-3d (230)" pbc="T T T"
Cs -9.0907 15.6194 -6.2234
Cs -0.2465 14.9879 -2.0726
Cs -13.2329 4.6602 8.5774
Cs 1.8000 5.9107 10.6446
Cs -4.4336 15.4143 -2.0983
Cs -2.6169 6.8532 12.0483
Cs 4.6735 9.3469 4.8736
Cs 6.7051 7.6350 8.7864
Cs -0.4979 14.6139 2.6353
Cs -10.9370 8.8854 0.6390
Cs 0.3692 0.9696 6.7991
Cs -13.5114 6.4424 3.7650
Cs -1.6150 9.6672 -2.6230
Cs -7.8373 9.9850 10.0016
Cs 4.8757 12.5531 0.3830
Cs -3.7341 1.9064 6.7900
Cs 8.4814 13.5231 7.9425
Cs -8.3241 5.2592 13.9545
Cs -9.7358 5.3637 -1.3281
Cs -3.7217 6.9043 7.9874
Cs 5.9732 14.4074 -6.5973
Cs 9.0010 11.8602 0.8480
Cs -5.0110 10.0482 2.8251
Cs 3.9373 13.0585 6.7166
Cs -4.6011 15.5508 2.6263
Cs -6.0319 10.6096 -1.2192
Cs -10.2051 2.1129 16.0227
Cs -8.9054 7.1734 4.5517
Cs -4.6978 6.1375 -1.9859
Cs 6.7618 4.2911 14.0364
Cs 5.5038 11.1566 10.7535
Cs 9.2794 10.0780 5.6603
Cs -10.9937 12.2292 -4.6110
Cs -9.1077 3.9673 9.0423
Cs -12.7134 2.9973 1.4828
Cs -8.1693 3.4619 2.7088
Cs -5.5531 13.0547 8.2486
Cs -0.5102 9.6161 1.4379
Cs 4.0922 11.2612 -4.5292
Cs 3.6054 6.5354 -0.5763
Cs 0.2017 1.1060 11.5236
Cs 0.4659 10.3829 11.4112
Cs 1.3211 3.4656 1.1768
Cs -3.2118 5.7660 1.9343
Cs -1.0202 10.7544 7.4910
Cs -3.9854 1.5325 11.4980
Cs 4.8587 0.9010 15.6487
Cs 0.7790 6.4722 6.6002
Hg 1.2609 1.3209 15.0349
Hg 7.4881 6.6696 5.0992
Hg 0.4006 13.8503 6.1149
Hg -4.6325 2.6700 3.3105
Hg 5.3105 4.8290 10.7044
Hg -7.3930 7.0075 7.8958
Hg -9.6041 1.5906 -0.3865
Hg 0.0000 0.0000 0.0000
Hg -6.8101 0.8294 8.9158
Hg -5.4929 15.1994 -5.6096
Hg -9.5424 11.6914 -1.2791
Hg 2.0415 3.5422 4.7785
Hg -4.9099 9.0214 -4.5896
Hg -2.1160 8.2602 4.7127
Hg 2.7939 -0.7612 9.3022
Hg -6.2735 12.9782 4.6468
Hg 3.1611 9.5129 1.5296
Hg 4.6941 7.4308 -4.2031
Hg 0.5367 12.1488 -4.2689
Hg -4.7686 4.3716 13.6943
Sn -11.4426 3.4995 12.2262
Sn 7.2107 13.0209 -2.8009
Sn 6.9051 12.8477 4.0792
Sn -3.6490 10.3423 10.4453
Sn -13.7615 6.3086 -0.4523
Sn 2.8556 9.3396 8.4096
Sn -2.8684 12.5635 0.1889
Sn -7.0875 7.1807 1.0157
Sn -1.3635 3.9569 9.2364
Sn 9.5296 10.2117 9.8777
Sn -0.5829 6.1781 -1.0200
Sn -11.1371 3.6727 5.3462

***

5
Lattice="4.3517 0.0000 0.0000 0.0000 4.3517 0.0000 2.1758 2.1758 11.9186" Properties=species:S:1:pos:R:3 comment="PBE-GGA Cs2Sn2Hg, relaxed" e_above_lowest_polymorph_ev_per_atom=0.093 delta_e_f_ev_per_atom=-0.075 spacegroup="I4/mmm (139)" pbc="T T T"
Sn 2.1758 4.3517 5.9593
Sn 4.3517 2.1758 5.9593
Cs 4.3517 4.3517 9.3470
Cs 2.1758 2.1758 2.5717
Hg 0.0000 0.0000 0.0000

***

9
Lattice="-4.0398 -0.5825 -5.3727 -6.1628 -4.3681 2.2946 -5.5761 5.5340 0.7798" Properties=species:S:1:pos:R:3 comment="PBE-GGA Cs2SnHg6, relaxed" delta_e_f_ev_per_atom=-0.123 spacegroup="C2/m (12)" pbc="T T T"
Hg -5.4973 -3.0881 -0.2456
Hg -7.7942 1.8986 -1.3950
Hg -10.2815 3.6715 -2.0527
Hg -7.9846 -1.3152 -0.9034
Hg -5.1076 3.4874 -1.2516
Hg -10.6712 -2.9040 -1.0468
Cs -3.8441 0.2927 0.4242
Cs -11.9347 0.2907 -2.7225
Sn 0.0000 0.0000 0.0000

***

4
Lattice="-4.6512 -1.2849 -0.7734 -1.1049 -3.1409 -3.5773 -1.1354 -7.1802 3.3168" Properties=species:S:1:pos:R:3 comment="PBE-GGA CsSn2Hg, relaxed" delta_e_f_ev_per_atom=-0.074 spacegroup="R-3m (166)" pbc="T T T"
Hg 0.0000 0.0000 0.0000
Cs -3.4457 -5.8030 -0.5169
Sn -5.0761 -9.3782 -0.2124
Sn -1.8154 -2.2278 -0.8214

***

80
Lattice="16.3362 0.0000 0.0000 -5.4454 15.4019 0.0000 -5.4454 -7.7010 13.3385" Properties=species:S:1:pos:R:3 comment="PBE-GGA Cs3Sn5Hg12, relaxed" delta_e_f_ev_per_atom=-0.012 spacegroup="Ia-3d (230)" pbc="T T T"
Sn 0.0000 0.0000 0.0000
Sn 6.8068 6.7383 5.0019
Sn -1.3614 12.5141 1.6673
Sn 6.8068 -4.8131 11.6711
Sn -4.0841 8.6636 5.0019
Sn -1.3614 0.9626 8.3365
Sn 8.1681 0.0000 0.0000
Sn 2.7227 3.8505 6.6692
Sn 5.4454 -3.8505 6.6692
Sn -5.4454 3.8505 6.6692
Sn -2.7227 7.7010 0.0000
Sn 9.5295 -0.9626 8.3365
Sn 5.4454 7.7010 0.0000
Sn 6.8068 3.8505 10.0038
Sn -2.7227 -3.8505 6.6692
Sn 1.3614 -3.8505 10.0038
Sn 4.0841 11.5514 3.3346
Sn 4.0841 2.8879 1.6673
Sn -1.3614 3.8505 3.3346
Sn 1.3614 4.8131 11.6711
Cs -6.8068 7.7010 10.0038
Cs 1.3614 7.7010 3.3346
Cs 1.3614 -0.9626 5.0019
Cs 9.5295 10.5888 1.6673
Cs 9.5295 4.8131 1.6673
Cs 4.0841 8.6636 8.3365
Cs 12.2522 0.0000 3.3346
Cs 6.8068 0.9626 5.0019
Cs 4.0841 0.0000 10.0038
Cs -4.0841 -2.8879 11.6711
Cs -1.3614 6.7383 8.3365
Cs -4.0841 2.8879 11.6711
Hg 4.2754 10.2491 0.7973
Hg -2.6530 3.2869 7.2875
Hg 2.5624 13.7944 2.4265
Hg 5.5151 -6.8837 13.1595
Hg 0.1603 12.8491 4.0638
Hg -3.9832 4.5374 4.2427
Hg 6.9076 -2.0926 8.4774
Hg 6.9981 2.5482 12.5412
Hg -1.2605 -3.1635 9.0957
Hg 10.8211 -3.2869 7.2875
Hg 6.7059 2.4449 0.6183
Hg -1.5527 5.1528 0.7973
Hg 9.3381 0.5836 10.7331
Hg 6.9981 -1.9645 11.5303
Hg 1.1700 1.9645 11.5303
Hg 4.1849 5.6084 4.8611
Hg 2.8830 -6.0934 10.9120
Hg 4.2754 5.7364 1.8081
Hg 9.4286 3.1635 9.0957
Hg 2.7924 0.8173 0.1789
Hg 2.5624 2.5529 4.0638
Hg -5.6057 6.7556 6.4903
Hg 2.6530 6.8837 13.1595
Hg 5.2851 6.0934 10.9120
Hg 1.1700 -2.5482 12.5412
Hg 8.0984 4.4141 6.0509
Hg 9.4286 -5.2561 12.7201
Hg 6.7059 10.8645 4.2427
Hg 0.1603 1.6075 2.4265
Hg 2.7924 11.2978 5.8720
Hg -1.2605 5.2561 12.7201
Hg -1.4622 9.7935 4.8611
Hg -1.1700 -0.5836 10.7331
Hg 2.8830 5.1481 9.2746
Hg -5.3757 10.9878 6.0509
Hg 8.3284 8.6463 6.4903
Hg -3.8927 7.1173 2.6054
Hg -0.0697 14.5846 0.1789
Hg 11.0511 0.9453 6.8481
Hg 5.2851 -5.1481 9.2746
Hg 2.6530 -3.5968 7.4665
Hg -2.8830 -0.9453 6.8481
Hg 6.6154 8.2846 2.6054
Hg -0.0697 4.1042 5.8720
Hg 1.2605 2.0926 8.4774
Hg -1.5527 9.6655 1.8081
Hg 5.5151 3.5968 7.4665
Hg -3.9832 12.9571 0.6183

***

10
Lattice="-5.6439 0.3260 4.6773 6.6572 -1.2406 2.3643 0.1069 9.4885 -0.5322" Properties=species:S:1:pos:R:3 comment="PBE-GGA Cs2SnHg2, relaxed" e_above_lowest_polymorph_ev_per_atom=0.000 delta_e_f_ev_per_atom=-0.231 spacegroup="C2/c (15)" pbc="T T T"
Cs -2.2191 6.0779 3.9394
Cs -1.0119 1.2609 3.1607
Cs 3.3393 2.4959 2.5699
Cs 2.1321 7.3130 3.3486
Hg -0.5796 -0.5949 6.4221
Hg 0.7731 4.0743 5.0793
Hg 0.3471 4.4996 1.4300
Hg 1.6997 9.1688 0.0872
Sn -4.9485 2.6595 3.9901
Sn -0.5885 7.1550 0.1550

***

12
Lattice="5.8277 0.0000 -1.8042 0.0000 8.0899 0.0000 -0.3243 0.0000 9.2667" Properties=species:S:1:pos:R:3 comment="PBE-GGA CsSnHg4, relaxed" e_above_lowest_polymorph_ev_per_atom=0.000 delta_e_f_ev_per_atom=-0.147 spacegroup="Cmcm (63)" pbc="T T T"
Hg 1.1881 3.6196 3.8377
Hg 3.5216 6.0675 1.0610
Hg 4.3153 4.4703 3.6249
Hg 1.9818 2.0225 6.4016
Hg 0.0000 4.0450 0.0000
Hg 4.3153 7.6646 3.6249
Hg 1.1881 0.4254 3.8377
Hg 0.0000 0.0000 0.0000
Sn 0.6217 6.0675 2.0082
Sn 4.8817 2.0225 5.4543
Cs 2.0605 6.0675 6.6559
Cs 3.4429 2.0225 0.8067

***

5
Lattice="-2.5329 4.5391 5.1844 -6.2020 0.9053 -3.8227 -6.5564 -1.4318 3.2484" Properties=species:S:1:pos:R:3 comment="PBE-GGA Cs2Sn2Hg, relaxed" e_above_lowest_polymorph_ev_per_atom=0.125 delta_e_f_ev_per_atom=-0.043 spacegroup="I4/mmm (139)" pbc="T T T"
Cs -8.5629 1.0978 0.0533
Cs -6.7283 2.9147 4.5568
Sn -4.9018 1.7081 1.3076
Sn -10.3894 2.3045 3.3025
Hg 0.0000 0.0000 0.0000

***

6
Lattice="6.4033 0.0000 0.0000 3.2016 5.5454 0.0000 3.2016 1.8485 5.2282" Properties=species:S:1:pos:R:3 comment="PBE-GGA CsSnHg4, relaxed" e_above_lowest_polymorph_ev_per_atom=0.116 delta_e_f_ev_per_atom=-0.031 spacegroup="F-43m (216)" pbc="T T T"
Hg 6.4033 3.6969 0.6587
Hg 7.9998 4.6187 3.2659
Hg 4.8067 4.6187 3.2659
Hg 6.4033 1.8534 3.2659
Cs 0.0000 0.0000 0.0000
Sn 3.2016 1.8485 1.3071

***

10
Lattice="-4.6852 -0.1701 6.5442 -2.2589 -1.9003 -6.5046 3.8403 -8.9445 2.3900" Properties=species:S:1:pos:R:3 comment="PBE-GGA Cs2Sn2Hg, relaxed" e_above_lowest_polymorph_ev_per_atom=0.000 delta_e_f_ev_per_atom=-0.168 spacegroup="P-1 (2)" pbc="T T T"
Cs -1.7922 -6.9380 4.1475
Cs -0.2590 -8.5977 0.2910
Cs -1.3116 -4.0769 -1.7179
Cs -2.8448 -2.4173 2.1386
Sn -0.9374 -9.1371 7.5113
Sn -2.1663 -1.8778 -5.0817
Sn 0.6814 -4.7472 1.7912
Sn -3.7851 -6.2678 0.6385
Hg -5.1463 -4.0494 -0.5104
Hg 2.0425 -6.9656 2.9401

***

5
Lattice="-4.0704 4.0046 -4.8749 -6.3082 -2.6644 3.0784 -5.2406 4.0263 1.9015" Properties=species:S:1:pos:R:3 comment="PBE-GGA Cs2SnHg2, relaxed" e_above_lowest_polymorph_ev_per_atom=0.122 delta_e_f_ev_per_atom=-0.109 spacegroup="I4/mmm (139)" pbc="T T T"
Sn 0.0000 0.0000 0.0000
Hg -5.2066 1.8000 0.0443
Hg -10.4126 3.5665 0.0607
Cs -8.3691 1.0160 2.0409
Cs -7.2501 4.3505 -1.9358